Computed, not measured: Mg3Si3Pt2 after structural relaxation at the PBE level of DFT.

a = 6.8471 Å, b = 15.6415 Å, c = 5.1712 Å
α = 90.00°, β = 90.00°, γ = 90.00°
With the nearest neighbours (Å) after each atom.
Positions (direct):
Mg 0.0121 0.1215 0.0920  3 Pt 2.70-2.75, 3 Si 2.74-2.98
Mg 0.0121 0.3785 0.0920  3 Pt 2.70-2.75, 3 Si 2.74-2.98
Mg 0.1833 0.2500 0.6351  3 Si 2.77-2.79, 4 Pt 2.92-2.94
Mg 0.3167 0.7500 0.1351  3 Si 2.77-2.79, 4 Pt 2.92-2.94
Mg 0.4879 0.6215 0.5920  3 Pt 2.70-2.75, 3 Si 2.74-2.98
Mg 0.4879 0.8785 0.5920  3 Pt 2.70-2.75, 3 Si 2.74-2.98
Mg 0.5121 0.1215 0.4080  3 Pt 2.70-2.75, 3 Si 2.74-2.98
Mg 0.5121 0.3785 0.4080  3 Pt 2.70-2.75, 3 Si 2.74-2.98
Mg 0.6833 0.2500 0.8649  3 Si 2.77-2.79, 4 Pt 2.92-2.94
Mg 0.8167 0.7500 0.3649  3 Si 2.77-2.79, 4 Pt 2.92-2.94
Mg 0.9879 0.6215 0.9080  3 Pt 2.70-2.75, 3 Si 2.74-2.98
Mg 0.9879 0.8785 0.9080  3 Pt 2.70-2.75, 3 Si 2.74-2.98
Si 0.1678 0.7500 0.6363  2 Pt 2.44
Si 0.1839 0.0259 0.6206  3 Pt 2.47-2.49
Si 0.1839 0.4741 0.6206  3 Pt 2.47-2.49
Si 0.3161 0.5259 0.1206  3 Pt 2.47-2.49
Si 0.3161 0.9741 0.1206  3 Pt 2.47-2.49
Si 0.3322 0.2500 0.1363  2 Pt 2.44
Si 0.6678 0.7500 0.8637  2 Pt 2.44
Si 0.6839 0.0259 0.8794  3 Pt 2.47-2.49
Si 0.6839 0.4741 0.8794  3 Pt 2.47-2.49
Si 0.8161 0.5259 0.3794  3 Pt 2.47-2.49
Si 0.8161 0.9741 0.3794  3 Pt 2.47-2.49
Si 0.8322 0.2500 0.3637  2 Pt 2.44
Pt 0.1130 0.6145 0.4131  4 Si 2.44-2.49, 2 Mg 2.70-2.73
Pt 0.1130 0.8855 0.4131  4 Si 2.44-2.49, 2 Mg 2.70-2.73
Pt 0.3870 0.1145 0.9131  4 Si 2.44-2.49, 2 Mg 2.70-2.73
Pt 0.3870 0.3855 0.9131  4 Si 2.44-2.49, 2 Mg 2.70-2.73
Pt 0.6130 0.6145 0.0869  4 Si 2.44-2.49, 2 Mg 2.70-2.73
Pt 0.6130 0.8855 0.0869  4 Si 2.44-2.49, 2 Mg 2.70-2.73
Pt 0.8870 0.1145 0.5869  4 Si 2.44-2.49, 2 Mg 2.70-2.73
Pt 0.8870 0.3855 0.5869  4 Si 2.44-2.49, 2 Mg 2.70-2.73

Fermi-level density of states ... 9.76 states/eV per cell
Total DFT energy (no corrections) ... -4.650 eV/atom
Crystal system ... orthorhombic
Volume ... 138.46 Å³/f.u.
Uncorrected formation energy ... -0.51 eV/atom